Record 1
## YSnN2O (GGA-PBE)

Data for a relaxed YSnN2O crystal.

The crystal system is tetragonal. For the density of states at the Fermi level, the calculation gives 0.68 states/eV per atom. The value obtained for the calculated total energy is -6.9055 eV/atom. Its uncorrected formation energy is -0.490 eV/atom.

It has space group P4/mmm (No. 123), with a = 4.083 Å, b = 4.083 Å, c = 4.096 Å, α = 90.00°, β = 90.00° and γ = 90.00°. The distinct sites, in fractional coordinates, are Y at (0.000, 0.000, 0.000), Sn at (0.500, 0.500, 0.500), N at (0.000, 0.500, 0.500) and O at (0.500, 0.500, 0.000).



Record 2
## YSnNO2 (GGA-PBE)

Data for a relaxed YSnNO2 crystal.

The crystal system is tetragonal. For the density of states at the Fermi level, the calculation gives 0.59 states/eV per atom. The value obtained for the calculated total energy is -6.4919 eV/atom. Its uncorrected formation energy is -0.750 eV/atom.

It has space group P4/mmm (No. 123), with a = 4.374 Å, b = 4.374 Å, c = 4.548 Å, α = 90.00°, β = 90.00° and γ = 90.00°. The distinct sites, in fractional coordinates, are Y at (0.000, 0.000, 0.000), Sn at (0.500, 0.500, 0.500), N at (0.000, 0.000, 0.500) and O at (0.000, 0.500, 0.000).



Record 3
## YSnNO2 (GGA-PBE)

Data for a relaxed YSnNO2 crystal.

The crystal system is tetragonal. The value obtained for the calculated total energy is -7.1076 eV/atom. Its uncorrected formation energy is -1.366 eV/atom.

It has space group P4/mmm (No. 123), with a = 4.033 Å, b = 4.033 Å, c = 4.140 Å, α = 90.00°, β = 90.00° and γ = 90.00°. The distinct sites, in fractional coordinates, are Y at (0.000, 0.000, 0.000), Sn at (0.500, 0.500, 0.500), N at (0.500, 0.500, 0.000) and O at (0.000, 0.500, 0.500).



Record 4
## ZnSnNO2 (GGA-PBE)

Data for a relaxed ZnSnNO2 crystal.

The crystal system is tetragonal. For the density of states at the Fermi level, the calculation gives 0.50 states/eV per atom. The value obtained for the calculated total energy is -4.6384 eV/atom. Its uncorrected formation energy is 0.065 eV/atom.

It has space group P4/mmm (No. 123), with a = 4.038 Å, b = 4.038 Å, c = 4.193 Å, α = 90.00°, β = 90.00° and γ = 90.00°. The distinct sites, in fractional coordinates, are Zn at (0.000, 0.000, 0.000), Sn at (0.500, 0.500, 0.500), N at (0.500, 0.500, 0.000) and O at (0.000, 0.500, 0.500).



Record 5
## ZnSnNO2 (GGA-PBE)

Data for a relaxed ZnSnNO2 crystal.

The crystal system is tetragonal. For the density of states at the Fermi level, the calculation gives 0.74 states/eV per atom. The value obtained for the calculated total energy is -4.4973 eV/atom. Its uncorrected formation energy is 0.206 eV/atom.

It has space group P4/mmm (No. 123), with a = 3.807 Å, b = 3.807 Å, c = 4.080 Å, α = 90.00°, β = 90.00° and γ = 90.00°. The distinct sites, in fractional coordinates, are Zn at (0.000, 0.000, 0.000), Sn at (0.500, 0.500, 0.500), N at (0.000, 0.000, 0.500) and O at (0.000, 0.500, 0.000).



Record 6
## ZrSnN2O (GGA-PBE)

Data for a relaxed ZrSnN2O crystal.

The crystal system is tetragonal. For the density of states at the Fermi level, the calculation gives 0.47 states/eV per atom. The value obtained for the calculated total energy is -7.1813 eV/atom. Its uncorrected formation energy is -0.349 eV/atom.

It has space group P4/mmm (No. 123), with a = 4.329 Å, b = 4.329 Å, c = 4.154 Å, α = 90.00°, β = 90.00° and γ = 90.00°. The distinct sites, in fractional coordinates, are Zr at (0.000, 0.000, 0.000), Sn at (0.500, 0.500, 0.500), N at (0.000, 0.500, 0.000) and O at (0.000, 0.000, 0.500).



Record 7
## ZrSnN2O (GGA-PBE)

Data for a relaxed ZrSnN2O crystal.

The crystal system is tetragonal. For the density of states at the Fermi level, the calculation gives 0.06 states/eV per atom. The value obtained for the calculated total energy is -6.9029 eV/atom. Its uncorrected formation energy is -0.071 eV/atom.

It has space group P4/mmm (No. 123), with a = 4.086 Å, b = 4.086 Å, c = 3.931 Å, α = 90.00°, β = 90.00° and γ = 90.00°. The distinct sites, in fractional coordinates, are Zr at (0.000, 0.000, 0.000), Sn at (0.500, 0.500, 0.500), N at (0.000, 0.500, 0.500) and O at (0.500, 0.500, 0.000).



Record 8
## Sr2NO (GGA-PBE)

Data for a relaxed Sr2NO crystal.

The crystal system is cubic. For the density of states at the Fermi level, the calculation gives 1.70 states/eV per atom. The value obtained for the calculated total energy is -5.1638 eV/atom. The value obtained for the energy relative to the lowest polymorph listed for this composition is 232 meV per atom. Its uncorrected formation energy is -1.002 eV/atom.

It has space group Fm-3m (No. 225), with a = 6.402 Å, b = 6.402 Å, c = 6.402 Å, α = 90.00°, β = 90.00° and γ = 90.00°. The distinct sites, in fractional coordinates, are Sr at (0.250, 0.250, 0.250), N at (0.000, 0.000, 0.000) and O at (0.000, 0.000, 0.500).